[1]
# BeRuAu2 (GGA-PBEsol, relaxed)
# Formation enthalpy at 0 K in eV per atom: 0.16
# SG: P4/mmm
# Calculated density in g/cm3: 15.1
# Fermi-level density of states in states/eV/atom: 0.650
data_BeRuAu2
_chemical_formula_sum 'Be1 Ru1 Au2'
_symmetry_space_group_name_H-M 'P 1'
_symmetry_Int_Tables_number 1
_symmetry_space_group_name_Hall 'P 1'
_cell_length_a 2.833
_cell_length_b 2.833
_cell_length_c 6.893
_cell_angle_alpha 90.00
_cell_angle_beta 90.00
_cell_angle_gamma 90.00
loop_
_atom_site_label
_atom_site_fract_x
_atom_site_fract_y
_atom_site_fract_z
Ru1 0.500 0.500 0.500
Au1 0.000 0.000 0.787
Be1 0.500 0.500 0.000
Au2 0.000 0.000 0.213


[2]
# Be2RuAu (GGA-PBEsol, relaxed)
# Formation enthalpy at 0 K in eV per atom: -0.28
# SG: Fm-3m
# Calculated density in g/cm3: 11.8
# Fermi-level density of states in states/eV/atom: 0.303
data_Be2RuAu
_chemical_formula_sum 'Be2 Ru1 Au1'
_symmetry_space_group_name_H-M 'P 1'
_symmetry_Int_Tables_number 1
_symmetry_space_group_name_Hall 'P 1'
_cell_length_a 3.979
_cell_length_b 3.979
_cell_length_c 3.979
_cell_angle_alpha 60.00
_cell_angle_beta 60.00
_cell_angle_gamma 60.00
loop_
_atom_site_label
_atom_site_fract_x
_atom_site_fract_y
_atom_site_fract_z
Ru1 0.000 0.000 0.000
Be1 0.250 0.250 0.250
Au1 0.500 0.500 0.500
Be2 0.750 0.750 0.750